A relaxed CaP2 crystal. Source: the Alexandria database, functional PBE-GGA.

Computed properties:
As for the density of states at the Fermi level: 2.78 states/eV/cell. The space group is I4_1/amd (141). The formation energy is -638 meV/atom.

Unit cell a=17.0542 b=17.0542 c=17.0542 alpha=167.36 beta=167.36 gamma=17.91
Closest atoms and distances in Å follow each position.
Sites, in units of the cell vectors:
Ca1 0.3071 0.5571 0.7500  10 P 2.93-3.14
Ca2 0.4429 0.6929 0.7500  10 P 2.93-3.14
Ca3 0.5571 0.3071 0.2500  10 P 2.93-3.14
Ca4 0.6929 0.4429 0.2500  10 P 2.93-3.14
P1 0.0177 0.7677 0.2500  2 P 2.22
P2 0.1240 0.3740 0.7500  4 P 2.66, 2 Ca 2.93
P3 0.2323 0.9823 0.2500  2 P 2.22
P4 0.3740 0.1240 0.2500  4 P 2.66, 2 Ca 2.93
P5 0.6260 0.8760 0.7500  4 P 2.66, 2 Ca 2.93
P6 0.7677 0.0177 0.7500  2 P 2.22
P7 0.8760 0.6260 0.2500  4 P 2.66, 2 Ca 2.93
P8 0.9823 0.2323 0.7500  2 P 2.22

A relaxed InNiAu4 crystal. Source: the Alexandria database, functional PBE-GGA.

Computed properties:
As for the density of states at the Fermi level: 6.16 states/eV/cell. The space group is F-43m (216). The formation energy is 232 meV/atom.

Unit cell a=5.4931 b=5.4931 c=5.4931 alpha=60.00 beta=60.00 gamma=60.00
Closest atoms and distances in Å follow each position.
Sites, in units of the cell vectors:
In1 0.0000 0.0000 0.0000  12 Au 3.22, 4 Ni 3.36
Ni1 0.7500 0.7500 0.7500  12 Au 3.22, 4 In 3.36
Au1 0.3753 0.3753 0.3753  6 Au 2.74-2.75
Au2 0.3753 0.3753 0.8741  6 Au 2.74-2.75
Au3 0.3753 0.8741 0.3753  6 Au 2.74-2.75
Au4 0.8741 0.3753 0.3753  6 Au 2.74-2.75

A relaxed CsNa2Au crystal. Source: the Alexandria database, functional PBE-GGA.

Computed properties:
As for the density of states at the Fermi level: 6.67 states/eV/cell. The space group is P2_1/c (14). The formation energy is -164 meV/atom. The energy above the most stable polymorph in this dataset comes out at 14.6 meV per atom.

Unit cell a=7.5733 b=9.6913 c=11.0819 alpha=90.00 beta=131.71 gamma=90.00
Closest atoms and distances in Å follow each position.
Sites, in units of the cell vectors:
Cs1 0.1608 0.0138 0.2366  4 Au 3.72-3.96, 4 Na 3.82-4.02, 1 Cs 4.06
Cs2 0.1608 0.4862 0.7366  4 Au 3.72-3.96, 4 Na 3.82-4.02, 1 Cs 4.06
Cs3 0.8392 0.5138 0.2634  4 Au 3.72-3.96, 4 Na 3.82-4.02, 1 Cs 4.06
Cs4 0.8392 0.9862 0.7634  4 Au 3.72-3.96, 4 Na 3.82-4.02, 1 Cs 4.06
Na1 0.2304 0.1097 0.6408  3 Au 3.11-3.28, 1 Na 3.46
Na2 0.2304 0.3903 0.1408  3 Au 3.11-3.28, 1 Na 3.46
Na3 0.4529 0.6637 0.4213  2 Au 3.06-3.07
Na4 0.4529 0.8363 0.9213  2 Au 3.06-3.07
Na5 0.5471 0.1637 0.0787  2 Au 3.06-3.07
Na6 0.5471 0.3363 0.5787  2 Au 3.06-3.07
Na7 0.7696 0.6097 0.8592  3 Au 3.11-3.28, 1 Na 3.46
Na8 0.7696 0.8903 0.3592  3 Au 3.11-3.28, 1 Na 3.46
Au1 0.2912 0.7096 0.0877  5 Na 3.06-3.28
Au2 0.2912 0.7904 0.5877  5 Na 3.06-3.28
Au3 0.7088 0.2096 0.4123  5 Na 3.06-3.28
Au4 0.7088 0.2904 0.9123  5 Na 3.06-3.28

A relaxed Ba6HPd3 crystal. Source: the Alexandria database, functional PBE-GGA.

Computed properties:
As for the density of states at the Fermi level: 12.71 states/eV/cell. The space group is P2_1/c (14). The value obtained for the total energy is -69.0 eV/cell.

Unit cell a=7.6085 b=8.3685 c=13.4973 alpha=90.00 beta=121.18 gamma=90.00
Closest atoms and distances in Å follow each position.
Sites, in units of the cell vectors:
Ba1 0.1008 0.1851 0.4331  1 H 3.01, 2 Pd 3.10-3.27
Ba2 0.1008 0.3149 0.9331  1 H 3.01, 2 Pd 3.10-3.27
Ba3 0.2374 0.6751 0.4218  1 H 2.91, 1 Pd 3.21
Ba4 0.2374 0.8249 0.9218  1 H 2.91, 1 Pd 3.21
Ba5 0.3960 0.0514 0.2460  3 Pd 3.12-3.34, 1 H 3.15
Ba6 0.3960 0.4486 0.7460  3 Pd 3.12-3.34, 1 H 3.15
Ba7 0.6040 0.5514 0.2540  3 Pd 3.12-3.34, 1 H 3.15
Ba8 0.6040 0.9486 0.7540  3 Pd 3.12-3.34, 1 H 3.15
Ba9 0.7626 0.1751 0.0782  1 H 2.91, 1 Pd 3.21
Ba10 0.7626 0.3249 0.5782  1 H 2.91, 1 Pd 3.21
Ba11 0.8992 0.6851 0.0669  1 H 3.01, 2 Pd 3.10-3.27
Ba12 0.8992 0.8149 0.5669  1 H 3.01, 2 Pd 3.10-3.27
H1 0.0000 0.0000 0.0000  6 Ba 2.91-3.15
H2 0.0000 0.5000 0.5000  6 Ba 2.91-3.15
Pd1 0.1835 0.1065 0.7341  6 Ba 3.25-3.52
Pd2 0.1835 0.3935 0.2341  6 Ba 3.25-3.52
Pd3 0.5000 0.0000 0.5000  6 Ba 3.10-3.21
Pd4 0.5000 0.5000 0.0000  6 Ba 3.10-3.21
Pd5 0.8165 0.6065 0.7659  6 Ba 3.25-3.52
Pd6 0.8165 0.8935 0.2659  6 Ba 3.25-3.52

A relaxed ScNiOs2 crystal. Source: the Alexandria database, functional PBE-GGA.

Computed properties:
As for the density of states at the Fermi level: 3.00 states/eV/cell. The space group is P4mm (99). The formation energy is -69 meV/atom. The energy above the most stable polymorph in this dataset comes out at 17.8 meV per atom.

Unit cell a=2.8418 b=2.8418 c=7.4059 alpha=90.00 beta=90.00 gamma=90.00
Closest atoms and distances in Å follow each position.
Sites, in units of the cell vectors:
Sc1 0.0000 0.0000 0.0000  4 Ni 2.76, 4 Sc 2.84, 4 Os 2.92
Ni1 0.5000 0.5000 0.2547  4 Os 2.64, 4 Sc 2.76, 4 Ni 2.84
Os1 0.0000 0.0000 0.4865  8 Os 2.62-2.84, 4 Ni 2.64
Os2 0.5000 0.5000 0.7130  8 Os 2.62-2.84, 4 Sc 2.92